1.
Ta2TcH PBE relaxed; energy = -8.89 eV per atom; DOS at the Fermi energy = 1.95 states/eV per cell; spin magnetization = 0.00 μB per formula unit; space-group type = Fm-3m; excess energy over the best structure of this formula in the dataset = 0.454 eV per atom
1.0
4.2220 -0.9561 -0.5792
2.2372 -2.0133 3.1649
1.2481 -4.1540 -0.5113
Ta H Tc
2 1 1
Direct
0.2500 0.2500 0.2500
0.7500 0.7500 0.7500
0.0000 0.0000 0.0000
0.5000 0.5000 0.5000



2.
AcDy2Tl9 PBE relaxed; energy = -3.14 eV per atom; DOS at the Fermi energy = 3.35 states/eV per cell; spin magnetization = 0.00 μB per formula unit; space-group type = P4/mmm
1.0
-2.8392 -3.9301 -0.2865
3.1699 -2.0681 -3.0436
6.9916 -5.8727 11.2722
Tl Dy Ac
9 2 1
Direct
0.0000 0.5000 0.5000
0.5000 0.5000 0.0000
0.0000 0.5000 0.8223
0.5000 0.0000 0.8223
0.5000 0.0000 0.1777
0.0000 0.5000 0.1777
0.5000 0.5000 0.3372
0.5000 0.0000 0.5000
0.5000 0.5000 0.6628
0.0000 0.0000 0.3409
0.0000 0.0000 0.6591
0.0000 0.0000 0.0000



3.
MoPtCl2 PBE relaxed; energy relative to the elements, uncorrected = -0.622 eV per formula unit; energy = -5.30 eV per atom; DOS at the Fermi energy = 1.54 states/eV per cell; spin magnetization = 0.00 μB per formula unit; space-group type = P4mm; excess energy over the best structure of this formula in the dataset = 0.078 eV per atom
1.0
-2.4340 0.2098 1.7815
-1.7931 -0.1962 -2.4266
-0.1471 -8.3911 0.7872
Cl Pt Mo
2 1 1
Direct
0.5000 0.5000 0.3314
0.0000 0.0000 0.9279
0.5000 0.5000 0.7158
0.0000 0.0000 0.5249



4.
BaTaCuSe4 PBE relaxed; energy relative to the elements, uncorrected = -6.787 eV per formula unit; energy = -5.51 eV per atom; spin magnetization = 0.00 μB per formula unit; space-group type = P2_1/m
1.0
-4.1070 3.2627 -2.1822
-3.6983 -0.2816 6.5394
6.6630 6.1987 4.0352
Se Ba Cu Ta
8 2 2 2
Direct
0.8933 0.4862 0.2837
0.4806 0.7500 0.4822
0.7238 0.2500 0.9325
0.1067 0.5138 0.7163
0.2762 0.7500 0.0675
0.8933 0.0138 0.2837
0.5194 0.2500 0.5178
0.1067 0.9862 0.7163
0.3349 0.2500 0.1604
0.6651 0.7500 0.8396
0.6342 0.7500 0.2788
0.3658 0.2500 0.7212
0.8659 0.2500 0.7198
0.1341 0.7500 0.2802



5.
Fe2ReIr PBE relaxed; energy = -9.56 eV per atom; DOS at the Fermi energy = 3.78 states/eV per cell; spin magnetization = 0.00 μB per formula unit; space-group type = P4/mmm
1.0
3.6051 0.0000 0.0000
0.0000 3.7373 0.0000
0.0000 0.0000 3.7373
Fe Ir Re
2 1 1
Direct
0.0000 0.0000 0.0000
0.0000 0.5000 0.5000
0.5000 0.5000 0.0000
0.5000 0.0000 0.5000



6.
Zr2BrCl PBE relaxed; energy relative to the elements, uncorrected = -0.706 eV per formula unit; energy = -5.33 eV per atom; DOS at the Fermi energy = 2.94 states/eV per cell; spin magnetization = 0.00 μB per formula unit; space-group type = Pmmm; excess energy over the best structure of this formula in the dataset = 0.957 eV per atom
1.0
-2.9129 1.2043 0.7466
-1.3178 -3.4223 0.3790
1.6342 0.0651 6.2703
Cl Zr Br
1 2 1
Direct
0.5000 0.5000 0.7500
0.0000 0.0000 0.9924
0.0000 0.0000 0.5076
0.5000 0.5000 0.2500



7.
Ag2Rh3 PBE relaxed; energy = -5.36 eV per atom; DOS at the Fermi energy = 6.57 states/eV per cell; spin magnetization = 0.00 μB per formula unit; space-group type = Immm; excess energy over the best structure of this formula in the dataset = 0.070 eV per atom
1.0
0.9627 -5.9688 4.6307
-0.9117 -2.3951 7.1714
-1.8020 2.8808 -6.8155
Rh Ag
3 2
Direct
0.0899 0.0899 0.0000
0.9101 0.9101 0.0000
0.5000 0.5000 0.0000
0.3027 0.3027 0.0000
0.6973 0.6973 0.0000



8.
Sr2LiCa2 PBE relaxed; energy = -1.64 eV per atom; DOS at the Fermi energy = 11.10 states/eV per cell; spin magnetization = 0.55 μB per formula unit; space-group type = P4/mbm; excess energy over the best structure of this formula in the dataset = 0.201 eV per atom
1.0
8.6678 0.0000 0.0000
0.0000 8.6678 0.0000
0.0000 0.0000 6.1702
Ca Sr Li
4 4 2
Direct
0.1619 0.6619 0.5000
0.3381 0.1619 0.5000
0.6619 0.8381 0.5000
0.8381 0.3381 0.5000
0.6525 0.1525 0.0000
0.8475 0.6525 0.0000
0.3475 0.8475 0.0000
0.1525 0.3475 0.0000
0.5000 0.5000 0.0000
0.0000 0.0000 0.0000



Q: Which value of spin magnetization does entry 6 give?
A: 0.00 μB per formula unit